Sc4GaSb | PBE | relaxed

Output
formation energy from raw total energies	-2.146	eV/f.u.
crystal system	monoclinic
spin magnetization	0.0	μB/f.u.

Cell: 8.0074 8.0074 7.0718 Å, 102.41 102.41 40.59°
Closest atoms and distances in Å follow each position.
Sites, in units of the cell vectors:
Sc  0.0525  0.8015  0.5623  1 Ga 2.68, 1 Sc 2.90
Sc  0.1985  0.9475  0.9377  1 Ga 2.68, 1 Sc 2.90
Sc  0.2056  0.4711  0.8760  2 Ga 2.75-2.76
Sc  0.4711  0.2056  0.3760  2 Ga 2.75-2.76
Sc  0.5289  0.7944  0.6240  2 Ga 2.75-2.76
Sc  0.7944  0.5289  0.1240  2 Ga 2.75-2.76
Sc  0.8015  0.0525  0.0623  1 Ga 2.68, 1 Sc 2.90
Sc  0.9475  0.1985  0.4377  1 Ga 2.68, 1 Sc 2.90
Ga  0.0000  0.5000  0.5000  6 Sc 2.68-2.76
Ga  0.5000  0.0000  0.0000  6 Sc 2.68-2.76
Sb  0.3703  0.6297  0.2500  10 Sc 3.01-3.18
Sb  0.6297  0.3703  0.7500  10 Sc 3.01-3.18

---

Sc2Ga2Sb | PBE | relaxed

Output
formation energy from raw total energies	-1.949	eV/f.u.
crystal system	tetragonal
spin magnetization	0.0	μB/f.u.
distance to the lowest polymorph of the same formula	136	meV per atom

Cell: 7.9851 7.9851 3.4585 Å, 90.00 90.00 90.00°
Closest atoms and distances in Å follow each position.
Sites, in units of the cell vectors:
Sc  0.1859  0.3141  0.0000  6 Ga 2.86-3.00, 2 Sb 2.91
Sc  0.3141  0.8141  0.0000  6 Ga 2.86-3.00, 2 Sb 2.91
Sc  0.6859  0.1859  0.0000  6 Ga 2.86-3.00, 2 Sb 2.91
Sc  0.8141  0.6859  0.0000  6 Ga 2.86-3.00, 2 Sb 2.91
Ga  0.1127  0.6127  0.5000  1 Ga 2.55
Ga  0.3873  0.1127  0.5000  1 Ga 2.55
Ga  0.6127  0.8873  0.5000  1 Ga 2.55
Ga  0.8873  0.3873  0.5000  1 Ga 2.55
Sb  0.0000  0.0000  0.0000  4 Sc 2.91
Sb  0.5000  0.5000  0.0000  4 Sc 2.91

---

Sc5Ga2Sb | PBE | relaxed

Output
formation energy from raw total energies	-5.148	eV/f.u.
crystal system	tetragonal
spin magnetization	0.8	μB/f.u.

Cell: 8.1883 8.1883 8.1883 Å, 126.21 126.21 79.54°
Closest atoms and distances in Å follow each position.
Sites, in units of the cell vectors:
Sc  0.0000  0.0000  0.0000  4 Ga 2.87, 2 Sb 3.15
Sc  0.0122  0.5122  0.8150  3 Ga 2.82-2.85, 2 Sb 3.09
Sc  0.1972  0.0122  0.5000  3 Ga 2.82-2.85, 2 Sb 3.09
Sc  0.3028  0.8028  0.8150  3 Ga 2.82-2.85, 2 Sb 3.09
Sc  0.4878  0.3028  0.5000  3 Ga 2.82-2.85, 2 Sb 3.09
Sc  0.5000  0.5000  0.0000  4 Ga 2.87, 2 Sb 3.15
Sc  0.5122  0.6972  0.5000  3 Ga 2.82-2.85, 2 Sb 3.09
Sc  0.6972  0.1972  0.1850  3 Ga 2.82-2.85, 2 Sb 3.09
Sc  0.8028  0.9878  0.5000  3 Ga 2.82-2.85, 2 Sb 3.09
Sc  0.9878  0.4878  0.1850  3 Ga 2.82-2.85, 2 Sb 3.09
Ga  0.1378  0.3622  0.5000  8 Sc 2.82-2.87, 1 Ga 2.89
Ga  0.3622  0.8622  0.2245  8 Sc 2.82-2.87, 1 Ga 2.89
Ga  0.6378  0.1378  0.7755  8 Sc 2.82-2.87, 1 Ga 2.89
Ga  0.8622  0.6378  0.5000  8 Sc 2.82-2.87, 1 Ga 2.89
Sb  0.2500  0.2500  0.0000  10 Sc 3.09-3.15
Sb  0.7500  0.7500  0.0000  10 Sc 3.09-3.15

---

Sc2GaSb2 | PBE | relaxed

Output
formation energy from raw total energies	-2.858	eV/f.u.
crystal system	tetragonal
spin magnetization	0.0	μB/f.u.
distance to the lowest polymorph of the same formula	0	meV per atom

Cell: 7.6523 7.6523 3.9934 Å, 90.00 90.00 90.00°
Closest atoms and distances in Å follow each position.
Sites, in units of the cell vectors:
Sc  0.1498  0.3502  0.0000  6 Sb 2.88-3.09, 2 Ga 2.91
Sc  0.3502  0.8502  0.0000  6 Sb 2.88-3.09, 2 Ga 2.91
Sc  0.6498  0.1498  0.0000  6 Sb 2.88-3.09, 2 Ga 2.91
Sc  0.8502  0.6498  0.0000  6 Sb 2.88-3.09, 2 Ga 2.91
Ga  0.0000  0.0000  0.0000  4 Sc 2.91
Ga  0.5000  0.5000  0.0000  4 Sc 2.91
Sb  0.1590  0.6590  0.5000  6 Sc 2.88-3.09
Sb  0.3410  0.1590  0.5000  6 Sc 2.88-3.09
Sb  0.6590  0.8410  0.5000  6 Sc 2.88-3.09
Sb  0.8410  0.3410  0.5000  6 Sc 2.88-3.09

---

Sc2GaSb | PBE | relaxed

Output
formation energy from raw total energies	-1.697	eV/f.u.
crystal system	tetragonal
spin magnetization	0.0	μB/f.u.
distance to the lowest polymorph of the same formula	318	meV per atom

Cell: 6.2547 6.2547 6.2547 Å, 105.13 105.13 118.56°
Closest atoms and distances in Å follow each position.
Sites, in units of the cell vectors:
Sc  0.1120  0.6250  0.9870  2 Ga 2.74, 2 Sb 2.87
Sc  0.3750  0.3620  0.4870  2 Ga 2.74, 2 Sb 2.87
Sc  0.6380  0.1250  0.0130  2 Ga 2.74, 2 Sb 2.87
Sc  0.8750  0.8880  0.5130  2 Ga 2.74, 2 Sb 2.87
Ga  0.0000  0.0000  0.0000  4 Sc 2.74
Ga  0.7500  0.2500  0.5000  4 Sc 2.74
Sb  0.2500  0.7500  0.5000  4 Sc 2.87, 2 Ga 3.20
Sb  0.5000  0.5000  0.0000  4 Sc 2.87, 2 Ga 3.20

---

Sc2GaSb | PBE | relaxed

Output
formation energy from raw total energies	-2.342	eV/f.u.
crystal system	tetragonal
spin magnetization	0.0	μB/f.u.
distance to the lowest polymorph of the same formula	157	meV per atom

Cell: 4.5284 4.5284 4.1098 Å, 90.00 90.00 90.00°
Closest atoms and distances in Å follow each position.
Sites, in units of the cell vectors:
Sc  0.0000  0.5000  0.0000  4 Sb 3.06, 4 Ga 3.06, 4 Sc 3.20
Sc  0.5000  0.0000  0.0000  4 Sb 3.06, 4 Ga 3.06, 4 Sc 3.20
Ga  0.0000  0.0000  0.5000  8 Sc 3.06, 4 Sb 3.20
Sb  0.5000  0.5000  0.5000  8 Sc 3.06, 4 Ga 3.20

---

Respective Fermi-level density of states values: 14.25, 6.85, 20.26, 8.36, 4.83, 3.61 states/eV per cell.